No. 1
Compound: CrAgIN2
Source: Alexandria
Functional: PBE-GGA
Structure: relaxed

Summary:
Calculated total energy in eV/atom: -3.698
Total magnetic moment in μB per atom: 0.10
ΔE to the lowest computed polymorph in eV/f.u.: 8.64
ΔE_f (raw) in eV per formula unit: 12.19

a b c (Å): 3.9421 3.9421 6.4590
angles (deg): 90.00 90.00 90.00
Space group P4/mmm (No. 123)
Symmetry-distinct sites (fractional):
Cr 0.0000 0.0000 0.0000
Ag 0.5000 0.5000 0.5000
I 0.5000 0.5000 0.0000
N 0.0000 0.5000 0.5000


No. 2
Compound: Ca2AgRu
Source: Alexandria
Functional: PBE-GGA
Structure: relaxed

Summary:
ΔH_f (0 K) in eV per formula unit: 0.47
Calculated total energy in eV/atom: -3.915
Total magnetic moment in μB per atom: 0.16

a b c (Å): 3.4308 5.1173 5.1169
angles (deg): 90.00 90.00 90.00
Space group Pmm2 (No. 25)
Symmetry-distinct sites (fractional):
Ca 0.0000 0.0000 0.0000
Ca 0.0000 0.5000 0.4990
Ag 0.5000 0.5000 0.9986
Ru 0.5000 0.0000 0.5001


No. 3
Compound: HgC2
Source: Alexandria
Functional: PBE-GGA
Structure: relaxed

Summary:
ΔH_f (0 K) in eV per formula unit: 10.95
Calculated total energy in eV/atom: -2.600
Total magnetic moment in μB per atom: 0.05
ΔE to the lowest computed polymorph in eV/f.u.: 9.34

a b c (Å): 3.4466 3.4466 4.2126
angles (deg): 90.00 90.00 90.00
Space group P4/mmm (No. 123)
Symmetry-distinct sites (fractional):
Hg 0.0000 0.0000 0.0000
C 0.0000 0.0000 0.5000
C 0.5000 0.5000 0.0000


No. 4
Compound: Ni5WAu
Source: Alexandria
Functional: PBE-GGA
Structure: relaxed

Summary:
ΔH_f (0 K) in eV per formula unit: 0.17
Calculated total energy in eV/atom: -6.424
Total magnetic moment in μB per atom: 0.00

a b c (Å): 3.6019 3.6019 7.3200
angles (deg): 90.00 90.00 90.00
Space group P4/mmm (No. 123)
Symmetry-distinct sites (fractional):
Ni 0.0000 0.0000 0.0000
Ni 0.0000 0.5000 0.2405
W 0.5000 0.5000 0.0000
Au 0.0000 0.0000 0.5000


No. 5
Compound: Rb8SbTe2
Source: Alexandria
Functional: PBE-GGA
Structure: relaxed

Summary:
Calculated total energy in eV/atom: -2.246
Total magnetic moment in μB per atom: 0.06
ΔE_f (raw) in eV per formula unit: -6.56

a b c (Å): 5.9895 9.4600 18.3770
angles (deg): 90.00 90.00 90.00
Space group Immm (No. 71)
Symmetry-distinct sites (fractional):
Rb 0.0000 0.0000 0.1533
Rb 0.0000 0.2195 0.3501
Rb 0.0000 0.2957 0.0000
Sb 0.0000 0.5000 0.5000
Te 0.0000 0.5000 0.1958


No. 6
Compound: K2AgOs
Source: Alexandria
Functional: PBE-GGA
Structure: relaxed

Summary:
ΔH_f (0 K) in eV per formula unit: 4.00
Calculated total energy in eV/atom: -3.069
Total magnetic moment in μB per atom: 0.16
ΔE to the lowest computed polymorph in eV/f.u.: 0.54

a b c (Å): 4.0493 4.0817 11.0759
angles (deg): 90.00 90.00 90.00
Space group Cmmm (No. 65)
Symmetry-distinct sites (fractional):
K 0.0000 0.0000 0.2385
Ag 0.0000 0.5000 0.5000
Os 0.0000 0.5000 0.0000